Entry 1:
The following is a DFT calculation (PBEsol) of crystalline YCr2Os at its relaxed geometry.

- D(E_F): 4.055 states/eV/cell
- Energy of formation from the pure elements: 0.585 eV per atom

a b c (Å): 5.025 5.025 2.762
angles (deg): 100.45 100.45 115.30
Atoms (fractional coordinates):
1 Y 0.000 0.000 0.000
2 Cr 0.000 0.500 0.500
3 Cr 0.500 0.000 0.500
4 Os 0.500 0.500 0.000


Entry 2:
The following is a DFT calculation (PBEsol) of crystalline Y3CrOs at its relaxed geometry.

- D(E_F): 3.141 states/eV/cell
- Energy of formation from the pure elements: 0.459 eV per atom

a b c (Å): 5.290 5.290 5.290
angles (deg): 90.00 90.00 90.00
Atoms (fractional coordinates):
1 Y 0.000 0.000 0.500
2 Y 0.000 0.500 0.000
3 Y 0.500 0.000 0.000
4 Cr 0.500 0.500 0.500
5 Os 0.000 0.000 0.000


Entry 3:
The following is a DFT calculation (PBEsol) of crystalline YCr2Os at its relaxed geometry.

- D(E_F): 3.752 states/eV/cell
- Energy of formation from the pure elements: 0.438 eV per atom

a b c (Å): 5.187 5.187 5.187
angles (deg): 146.85 127.00 63.95
Atoms (fractional coordinates):
1 Y 0.000 0.000 0.000
2 Cr 0.520 0.520 0.000
3 Cr 0.722 0.222 0.500
4 Os 0.280 0.780 0.500


Entry 4:
The following is a DFT calculation (PBEsol) of crystalline YCr2Os at its relaxed geometry.

- D(E_F): 5.294 states/eV/cell
- Energy of formation from the pure elements: 0.767 eV per atom

a b c (Å): 3.757 3.757 4.397
angles (deg): 90.00 90.00 90.00
Atoms (fractional coordinates):
1 Y 0.000 0.000 0.000
2 Cr 0.000 0.500 0.500
3 Cr 0.500 0.000 0.500
4 Os 0.500 0.500 0.000


Entry 5:
The following is a DFT calculation (PBEsol) of crystalline YCr2Os at its relaxed geometry.

- D(E_F): 2.590 states/eV/cell
- Energy of formation from the pure elements: 0.385 eV per atom

a b c (Å): 4.352 4.352 4.352
angles (deg): 60.00 60.00 60.00
Atoms (fractional coordinates):
1 Y 0.000 0.000 0.000
2 Cr 0.250 0.250 0.250
3 Cr 0.750 0.750 0.750
4 Os 0.500 0.500 0.500


Entry 6:
The following is a DFT calculation (PBEsol) of crystalline YCr2Os at its relaxed geometry.

- D(E_F): 2.524 states/eV/cell
- Energy of formation from the pure elements: 0.422 eV per atom

a b c (Å): 4.440 4.440 4.440
angles (deg): 60.00 60.00 60.00
Atoms (fractional coordinates):
1 Y 0.000 0.000 0.000
2 Cr 0.500 0.500 0.500
3 Cr 0.750 0.750 0.750
4 Os 0.250 0.250 0.250


Entry 7:
The following is a DFT calculation (PBEsol) of crystalline YCr2Os at its relaxed geometry.

- D(E_F): 4.246 states/eV/cell
- Energy of formation from the pure elements: 0.366 eV per atom

a b c (Å): 4.941 4.941 4.935
angles (deg): 105.78 105.78 35.55
Atoms (fractional coordinates):
1 Y 0.000 0.000 0.000
2 Cr 0.222 0.222 0.636
3 Cr 0.778 0.778 0.364
4 Os 0.500 0.500 0.500


Entry 8:
The following is a DFT calculation (PBEsol) of crystalline Zn2CrOs at its relaxed geometry.

- D(E_F): 3.632 states/eV/cell
- Energy of formation from the pure elements: 0.281 eV per atom

a b c (Å): 4.972 4.972 2.560
angles (deg): 99.55 99.55 118.94
Atoms (fractional coordinates):
1 Zn 0.000 0.500 0.000
2 Zn 0.500 0.000 0.000
3 Cr 0.000 0.000 0.500
4 Os 0.500 0.500 0.500